No. 1
Entry from the Alexandria database: a relaxed structure of SnBrF (GGA-PBEsol).

Results
The space-group type is P4/nmm.

Unit cell a=4.0374 b=4.0374 c=7.6649 alpha=90.00 beta=90.00 gamma=90.00
With the nearest neighbours (Å) after each atom.
Fractional coordinates of all 6 atoms:
Sn: 0.2500 0.2500 0.1901  4 F 2.49
Sn: 0.7500 0.7500 0.8099  4 F 2.49
Br: 0.2500 0.2500 0.6515  4 Sn 3.10, 4 F 3.35
Br: 0.7500 0.7500 0.3485  4 Sn 3.10, 4 F 3.35
F: 0.2500 0.7500 0.0000  4 Sn 2.49
F: 0.7500 0.2500 0.0000  4 Sn 2.49



No. 2
Entry from the Alexandria database: a relaxed structure of CuTe2Pb (GGA-PBEsol).

Results
The space-group type is F-43m.

Unit cell a=7.3423 b=7.3423 c=7.3423 alpha=90.00 beta=90.00 gamma=90.00
With the nearest neighbours (Å) after each atom.
Fractional coordinates of all 16 atoms:
Cu: 0.0000 0.0000 0.0000  4 Pb 3.18, 4 Te 3.18
Cu: 0.0000 0.5000 0.5000  4 Te 3.18, 4 Pb 3.18
Cu: 0.5000 0.0000 0.5000  4 Te 3.18, 4 Pb 3.18
Cu: 0.5000 0.5000 0.0000  4 Te 3.18, 4 Pb 3.18
Te: 0.0000 0.0000 0.5000  4 Pb 3.18, 4 Te 3.18
Te: 0.0000 0.5000 0.0000  4 Pb 3.18, 4 Te 3.18
Te: 0.2500 0.2500 0.2500  4 Te 3.18, 4 Cu 3.18
Te: 0.2500 0.7500 0.7500  4 Te 3.18, 4 Cu 3.18
Te: 0.5000 0.0000 0.0000  4 Pb 3.18, 4 Te 3.18
Te: 0.5000 0.5000 0.5000  4 Pb 3.18, 4 Te 3.18
Te: 0.7500 0.2500 0.7500  4 Te 3.18, 4 Cu 3.18
Te: 0.7500 0.7500 0.2500  4 Te 3.18, 4 Cu 3.18
Pb: 0.2500 0.2500 0.7500  4 Te 3.18, 4 Cu 3.18
Pb: 0.2500 0.7500 0.2500  4 Te 3.18, 4 Cu 3.18
Pb: 0.7500 0.2500 0.2500  4 Te 3.18, 4 Cu 3.18
Pb: 0.7500 0.7500 0.7500  4 Te 3.18, 4 Cu 3.18



No. 3
Entry from the Alexandria database: a relaxed structure of Li5Ti6FeO16 (GGA-PBEsol).

Results
The space-group type is Pm.

Unit cell a=5.8566 b=5.8940 c=8.3389 alpha=90.00 beta=90.70 gamma=90.00
With the nearest neighbours (Å) after each atom.
Fractional coordinates of all 28 atoms:
Li: 0.0000 0.0000 0.0000  4 O 1.95-1.99
Li: 0.0346 0.5000 0.2593  4 O 1.98-2.04
Li: 0.2731 0.5000 0.8782  6 O 2.01-2.10
Li: 0.5048 0.5000 0.4971  4 O 1.96-2.02
Li: 0.7578 0.0000 0.3795  6 O 2.06-2.11
Ti: 0.0167 0.2582 0.6261  6 O 1.89-2.06
Ti: 0.0167 0.7418 0.6261  6 O 1.89-2.06
Ti: 0.2542 0.0000 0.3696  6 O 1.92-2.14
Ti: 0.5164 0.2511 0.1376  6 O 1.87-2.09
Ti: 0.5164 0.7489 0.1376  6 O 1.87-2.09
Ti: 0.7899 0.5000 0.8858  4 O 1.85-2.06
Fe: 0.5274 0.0000 0.7630  4 O 1.85-1.96
O: 0.0014 0.2697 0.8609  2 Ti 1.85-1.96, 1 Li 1.97
O: 0.0014 0.7303 0.8609  2 Ti 1.85-1.96, 1 Li 1.97
O: 0.0244 0.2269 0.4012  2 Ti 1.89-1.92, 2 Li 2.00-2.06
O: 0.0244 0.7731 0.4012  2 Ti 1.89-1.92, 2 Li 2.00-2.06
O: 0.2289 0.5000 0.6310  2 Ti 1.89, 2 Li 1.97-2.08
O: 0.2538 0.0000 0.6259  1 Fe 1.96, 3 Ti 2.06-2.14
O: 0.2789 0.0000 0.1392  3 Ti 1.93-2.03, 1 Li 1.99
O: 0.3057 0.5000 0.1191  2 Ti 1.92, 2 Li 1.98-2.01
O: 0.4935 0.2301 0.3600  2 Ti 1.87-1.95, 2 Li 1.96-2.06
O: 0.4935 0.7699 0.3600  2 Ti 1.87-1.95, 2 Li 1.96-2.06
O: 0.5299 0.2605 0.8879  1 Fe 1.85, 1 Li 2.06, 1 Ti 2.08
O: 0.5299 0.7395 0.8879  1 Fe 1.85, 1 Li 2.06, 1 Ti 2.08
O: 0.7252 0.0000 0.1303  2 Ti 1.92, 2 Li 1.95-2.08
O: 0.7481 0.5000 0.1178  3 Ti 1.95-2.01, 1 Li 2.04
O: 0.7868 0.0000 0.6322  1 Fe 1.88, 2 Ti 2.03
O: 0.7867 0.5000 0.6388  3 Ti 1.96-2.06, 1 Li 2.02



In order of appearance, energy relative to the elements, uncorrected = -1.501, 0.377, -2.656 eV/atom.
In order of appearance, total magnetization = 0.00, 0.00, 5.00 μB/f.u..